# 1
Below is an optimized crystal structure of AcTi2S7, with properties calculated at the PBE level.

The formation energy without anion corrections is -1.01 eV/atom. As for the final energy: -58.8 eV per formula unit. The calculation puts the calculated density at 4.22 g/cm³.

The structure belongs to space group Cmmm (No. 65); the cell edges are 7.711, 12.096 and 4.613 Å and the angles 90.00°, 90.00° and 90.00°. The distinct sites, in fractional coordinates, are Ac at (0.000, 0.000, 0.000), Ti at (0.000, 0.305, 0.500), S at (0.000, 0.264, 0.000), S at (0.000, 0.500, 0.500) and S at (0.204, 0.124, 0.500).

---

# 2
Below is an optimized crystal structure of Ac6Ti3S14, with properties calculated at the PBE level.

The formation energy without anion corrections is -1.89 eV/atom. As for the final energy: -149.5 eV per formula unit. The calculation puts the calculated density at 5.47 g/cm³.

The structure belongs to space group P3 (No. 143); the cell edges are 10.7148, 10.7148 and 5.9644 Å and the angles 90.00°, 90.00° and 120.00°. The distinct sites, in fractional coordinates, are Ac at (0.0249, 0.4588, 0.0000), Ac at (0.3069, 0.2085, 0.4946), Ti at (0.0000, 0.0000, 0.0715), Ti at (0.3333, 0.6667, 0.5800), Ti at (0.6667, 0.3333, 0.7363), S at (0.0000, 0.0000, 0.6929), S at (0.0762, 0.2247, 0.2132), S at (0.1873, 0.7452, 0.7194), S at (0.3333, 0.6667, 0.2016), S at (0.4329, 0.2516, 0.9682) and S at (0.5125, 0.1002, 0.5071).

---

# 3
Below is an optimized crystal structure of AcTiS2, with properties calculated at the PBE level.

The formation energy without anion corrections is -1.49 eV/atom. As for the final energy: -26.2 eV per formula unit. The calculation puts the calculated density at 6.68 g/cm³.

The structure belongs to space group R-3m (No. 166, hexagonal axes); the cell edges are 3.8751, 3.8751 and 19.4331 Å and the angles 90.00°, 90.00° and 120.00°. The distinct sites, in fractional coordinates, are Ac at (0.0000, 0.0000, 0.0000), Ti at (0.0000, 0.0000, 0.5000) and S at (0.0000, 0.0000, 0.2322).

---

# 4
Below is an optimized crystal structure of AcTiS3, with properties calculated at the PBE level.

The formation energy without anion corrections is -1.75 eV/atom. As for the final energy: -33.2 eV per formula unit. The calculation puts the calculated density at 5.48 g/cm³. Its energy above the most stable polymorph in this dataset is 0 meV per atom.

The structure belongs to space group Cmcm (No. 63); the cell edges are 4.772, 19.864 and 4.745 Å and the angles 90.00°, 90.00° and 90.00°. The distinct sites, in fractional coordinates, are Ac at (0.000, 0.160, 0.250), Ti at (0.000, 0.441, 0.250), S at (0.000, 0.065, 0.750), S at (0.000, 0.309, 0.250) and S at (0.000, 0.434, 0.750).

---

# 5
Below is an optimized crystal structure of AcTiS3, with properties calculated at the PBE level.

The formation energy without anion corrections is -1.68 eV/atom. As for the final energy: -32.8 eV per formula unit. The calculation puts the calculated density at 5.72 g/cm³. Its energy above the most stable polymorph in this dataset is 77 meV per atom.

The structure belongs to space group Pm-3m (No. 221); the cell edges are 4.758, 4.758 and 4.758 Å and the angles 90.00°, 90.00° and 90.00°. The distinct sites, in fractional coordinates, are Ac at (0.000, 0.000, 0.000), Ti at (0.500, 0.500, 0.500) and S at (0.000, 0.500, 0.500).

---

# 6
Below is an optimized crystal structure of AcTiS3, with properties calculated at the PBE level.

The formation energy without anion corrections is -1.74 eV/atom. As for the final energy: -33.1 eV per formula unit. The calculation puts the calculated density at 5.62 g/cm³. Its energy above the most stable polymorph in this dataset is 14 meV per atom.

The structure belongs to space group C2/c (No. 15); the cell edges are 11.732, 6.731 and 11.689 Å and the angles 90.00°, 108.15° and 90.00°. The distinct sites, in fractional coordinates, are Ac at (0.132, 0.219, 0.132), Ti at (0.000, 0.263, 0.750), Ti at (0.250, 0.250, 0.500), S at (0.085, 0.249, 0.585), S at (0.142, 0.481, 0.346) and S at (0.152, 0.019, 0.862).